Material: Zr2SbW
Method: DFT, PBEsol
State: relaxed

Cell: 3.5740 5.0396 9.0038 Å, 90.00 90.00 90.00°
Last column: nearest neighbours and their distance in Å.
Space group Cmm2 (No. 35)
Unique sites:
1 Zr 0.0000 0.0000 0.0000 [2 per cell]  2 W 2.75
2 Zr 0.0000 0.5000 0.2794 [2 per cell]  2 Sb 2.90, 6 Zr 3.09
3 Sb 0.0000 0.0000 0.5336 [2 per cell]  2 W 2.76, 2 Zr 2.90, 4 Sb 3.09
4 W 0.0000 0.5000 0.7675 [2 per cell]  2 Zr 2.75, 2 Sb 2.76

---

Material: ZrSbW3
Method: DFT, PBEsol
State: relaxed

Cell: 4.8110 4.8110 4.8110 Å, 90.00 90.00 90.00°
Last column: nearest neighbours and their distance in Å.
Space group Pm-3m (No. 221)
Unique sites:
1 Zr 0.0000 0.0000 0.0000 [1 per cell]  12 W 3.40
2 Sb 0.5000 0.5000 0.5000 [1 per cell]  6 W 2.41
3 W 0.0000 0.5000 0.5000 [3 per cell]  2 Sb 2.41

---

Material: ZrSb2W
Method: DFT, PBEsol
State: relaxed

Cell: 3.3508 3.3508 26.8883 Å, 90.00 90.00 120.00°
Last column: nearest neighbours and their distance in Å.
Space group R3m (No. 160, hexagonal axes)
Unique sites:
1 Zr 0.0000 0.0000 0.0000 [3 per cell]  3 W 2.81, 3 Sb 3.01
2 Sb 0.0000 0.0000 0.5185 [3 per cell]  3 W 2.75
3 Sb 0.0000 0.0000 0.7525 [3 per cell]  3 Zr 3.01, 9 Sb 3.30-3.35
4 W 0.0000 0.0000 0.2576 [3 per cell]  3 Sb 2.75, 3 Zr 2.81

Results
Its energy above the lowest structure with this stoichiometry is 0.000 eV per atom.

---

Material: ZrSb2W
Method: DFT, PBEsol
State: relaxed

Cell: 3.7182 4.2926 5.0717 Å, 90.00 90.00 90.00°
Last column: nearest neighbours and their distance in Å.
Space group Pmmm (No. 47)
Unique sites:
1 Zr 0.0000 0.0000 0.0000 [1 per cell]  4 Sb 2.84, 4 W 3.14
2 Sb 0.0000 0.5000 0.5000 [1 per cell]  4 W 2.84, 4 Sb 3.14
3 Sb 0.5000 0.5000 0.0000 [1 per cell]  4 Zr 2.84, 4 Sb 3.14
4 W 0.5000 0.0000 0.5000 [1 per cell]  4 Sb 2.84, 4 Zr 3.14

Results
Its energy above the lowest structure with this stoichiometry is 0.090 eV per atom.

---

Material: Y2Sb
Method: DFT, PBEsol
State: relaxed

Cell: 4.1536 13.0175 6.2146 Å, 90.00 90.00 90.00°
Last column: nearest neighbours and their distance in Å.
Space group Cmcm (No. 63)
Unique sites:
1 Y 0.0000 0.0000 0.0000 [4 per cell]  2 Y 3.11, 4 Sb 3.12
2 Y 0.0000 0.3018 0.2500 [4 per cell]  4 Sb 3.03-3.22
3 Sb 0.0000 0.3674 0.7500 [4 per cell]  8 Y 3.03-3.22

---

Material: Y5Sb4
Method: DFT, PBEsol
State: relaxed

Cell: 9.1900 9.1900 6.3549 Å, 90.00 90.00 120.00°
Last column: nearest neighbours and their distance in Å.
Space group P6_3/mcm (No. 193)
Unique sites:
1 Y 0.0000 0.2736 0.2500 [6 per cell]  5 Sb 2.97-3.19
2 Y 0.3333 0.6667 0.0000 [4 per cell]  2 Y 3.18, 6 Sb 3.25
3 Sb 0.0000 0.0000 0.0000 [2 per cell]  6 Y 2.97, 2 Sb 3.18
4 Sb 0.0000 0.3898 0.7500 [6 per cell]  9 Y 3.09-3.35

---

no.,raw total energy (eV per atom),calculated volume (Å³ per atom),raw formation energy (eV per atom)
1,-8.985,20.3,0.151
2,-8.841,22.3,2.173
3,-7.857,21.8,0.146
4,-7.767,20.2,0.236
5,-6.871,28.0,-0.804
6,-6.882,25.8,-1.067